## LaBe2 (GGA-PBE)

Data for an optimized crystal structure of LaBe2.

a b c (Å): 11.189 3.770 5.824
angles (deg): 90.00 115.66 90.00
Space group C2/m (No. 12)
Unique sites:
La  0.170  0.000  0.191 [4 per cell]
Be  0.015  0.500  0.685 [4 per cell]
Be  0.093  0.000  0.629 [4 per cell]

***

## LaBe2 (GGA-PBE)

Data for an optimized crystal structure of LaBe2.

a b c (Å): 4.7461 4.7461 6.0606
angles (deg): 90.00 90.00 120.00
Space group P6_3/mmc (No. 194)
Unique sites:
La  0.3333  0.6667  0.2500 [2 per cell]
Be  0.0000  0.0000  0.0000 [2 per cell]
Be  0.3333  0.6667  0.7500 [2 per cell]

***

## La2Be (GGA-PBE)

Data for an optimized crystal structure of La2Be.

a b c (Å): 5.2760 5.2760 3.1125
angles (deg): 90.00 90.00 120.00
Space group P6/mmm (No. 191)
Unique sites:
La  0.3333  0.6667  0.0000 [2 per cell]
Be  0.0000  0.0000  0.5000 [1 per cell]

***

Record order is preserved below.
E_form: 0.155 0.514 0.433 eV per atom
Record order is preserved below.
Size of the total moment: 0.00 0.00 0.00 μB/atom